No. 1
## YTa2Pb (PBE-GGA)

Data for an optimized crystal structure of YTa2Pb.

Lattice parameters (Å, degrees): 10.3422 10.3422 10.3422 17.83 17.83 17.83
With the nearest neighbours (Å) after each atom.
Positions (direct):
Pb1 0.7500 0.7500 0.7500  6 Ta 3.07, 6 Pb 3.21
Y1 0.2500 0.2500 0.2500  6 Y 3.21, 6 Ta 3.22
Ta1 0.0031 0.0031 0.0031  3 Pb 3.07, 6 Ta 3.21, 3 Y 3.22
Ta2 0.4969 0.4969 0.4969  3 Pb 3.07, 6 Ta 3.21, 3 Y 3.22

- Space-group type: R-3m
- Calculated total energy: -7.888 eV per atom

No. 2
## YTa2Pb (PBE-GGA)

Data for an optimized crystal structure of YTa2Pb.

Lattice parameters (Å, degrees): 8.2769 8.2769 6.5298 50.67 50.67 90.00
With the nearest neighbours (Å) after each atom.
Positions (direct):
Ta1 0.6547 0.1250 0.2500  2 Pb 2.85, 2 Ta 2.94, 2 Y 3.19
Pb1 0.0000 0.0000 0.0000  4 Ta 2.85, 2 Y 2.90
Ta2 0.8750 0.9047 0.7500  2 Pb 2.85, 2 Ta 2.94, 2 Y 3.19
Y1 0.2500 0.7500 0.5000  2 Pb 2.90, 4 Ta 3.19
Pb2 0.7500 0.2500 0.5000  4 Ta 2.85, 2 Y 2.90
Y2 0.5000 0.5000 0.0000  2 Pb 2.90, 4 Ta 3.19
Ta3 0.0953 0.6250 0.2500  2 Pb 2.85, 2 Ta 2.94, 2 Y 3.19
Ta4 0.3750 0.3453 0.7500  2 Pb 2.85, 2 Ta 2.94, 2 Y 3.19

- Space-group type: I-42d
- Calculated total energy: -7.539 eV per atom

No. 3
## YTa2Pb (PBE-GGA)

Data for an optimized crystal structure of YTa2Pb.

Lattice parameters (Å, degrees): 4.9314 4.2356 4.2356 90.00 90.00 90.00
With the nearest neighbours (Å) after each atom.
Positions (direct):
Y1 0.5000 0.5000 0.0000  4 Pb 3.00, 8 Ta 3.25
Ta1 0.0000 0.0000 0.0000  4 Ta 3.00, 4 Pb 3.25, 4 Y 3.25
Pb1 0.5000 0.0000 0.5000  4 Y 3.00, 8 Ta 3.25
Ta2 0.0000 0.5000 0.5000  4 Ta 3.00, 4 Pb 3.25, 4 Y 3.25

- Space-group type: P4/mmm
- Calculated total energy: -8.147 eV per atom

No. 4
## YTa2Pb (PBE-GGA)

Data for an optimized crystal structure of YTa2Pb.

Lattice parameters (Å, degrees): 3.5384 3.5384 7.3627 90.00 90.00 90.00
With the nearest neighbours (Å) after each atom.
Positions (direct):
Ta1 0.5000 0.5000 0.2056  4 Ta 2.80, 1 Pb 3.12
Ta2 0.0000 0.0000 0.0339  4 Ta 2.80, 4 Pb 3.12
Pb1 0.5000 0.5000 0.7817  5 Ta 3.12, 4 Y 3.35
Y1 0.0000 0.0000 0.4789  5 Ta 3.21-3.28, 4 Pb 3.35, 4 Y 3.54

- Space-group type: P4mm
- Calculated total energy: -8.355 eV per atom